one.
First-principles (GGA-PBEsol) data for an optimized crystal structure of CoBrCl, as listed in Alexandria.

Summary:
Fermi-level density of states, states/eV/cell: 2.2
Total magnetic moment, μB per formula unit: 2.97

a b c (Å): 6.6061 6.6061 6.6061
angles (deg): 152.75 152.75 38.92
Fractional positions:
Co 0.0000 0.0000 0.0000
Br 0.6285 0.6285 0.0000
Cl 0.3865 0.3865 0.0000



two.
First-principles (GGA-PBEsol) data for an optimized crystal structure of CoBrCl, as listed in Alexandria.

Summary:
Fermi-level density of states, states/eV/cell: 5.5
Total magnetic moment, μB per formula unit: 3.01

a b c (Å): 3.5138 3.5138 6.1270
angles (deg): 90.00 90.00 120.00
Fractional positions:
Co 0.0000 0.0000 0.0000
Br 0.3333 0.6667 0.7581
Cl 0.6667 0.3333 0.2092



Stability summary - winner: two; margin: 0.409 eV/atom.



one.
First-principles (GGA-PBEsol) data for an optimized crystal structure of Re2SiP, as listed in Alexandria.

Summary:
Fermi-level density of states, states/eV/cell: 2.4
Total magnetic moment, μB per formula unit: 0.00

a b c (Å): 4.1817 4.1817 4.9189
angles (deg): 101.04 101.04 39.62
Fractional positions:
Re 0.2469 0.2469 0.2585
Re 0.7531 0.7531 0.7415
Si 0.5000 0.5000 0.0000
P 0.0000 0.0000 0.5000



two.
First-principles (GGA-PBEsol) data for an optimized crystal structure of Re2SiP, as listed in Alexandria.

Summary:
Fermi-level density of states, states/eV/cell: 2.5
Total magnetic moment, μB per formula unit: 0.00

a b c (Å): 4.5782 4.5782 4.5782
angles (deg): 130.35 130.35 72.84
Fractional positions:
Re 0.0000 0.0000 0.0000
Re 0.7500 0.2500 0.5000
Si 0.5000 0.5000 0.0000
P 0.2500 0.7500 0.5000



Stability summary - winner: one; margin: 0.283 eV/atom.



one.
First-principles (GGA-PBEsol) data for an optimized crystal structure of CsTlCl2, as listed in Alexandria.

Summary:
Fermi-level density of states, states/eV/cell: 0.0
Total magnetic moment, μB per formula unit: 0.00

a b c (Å): 5.5350 5.5350 5.5350
angles (deg): 60.00 60.00 60.00
Fractional positions:
Cs 0.0000 0.0000 0.0000
Tl 0.5000 0.5000 0.5000
Cl 0.2500 0.2500 0.2500
Cl 0.7500 0.7500 0.7500



two.
First-principles (GGA-PBEsol) data for an optimized crystal structure of CsTlCl2, as listed in Alexandria.

Summary:
Fermi-level density of states, states/eV/cell: 0.0
Total magnetic moment, μB per formula unit: 0.00

a b c (Å): 9.7477 9.7477 9.7477
angles (deg): 29.97 29.97 29.97
Fractional positions:
Cs 0.0000 0.0000 0.0000
Tl 0.5000 0.5000 0.5000
Cl 0.3988 0.3988 0.3988
Cl 0.6012 0.6012 0.6012



Stability summary - winner: one; margin: 0.198 eV/atom.



one.
First-principles (GGA-PBEsol) data for an optimized crystal structure of ZrScCd2, as listed in Alexandria.

Summary:
Fermi-level density of states, states/eV/cell: 3.8
Total magnetic moment, μB per formula unit: 0.00

a b c (Å): 5.8823 5.8823 5.8823
angles (deg): 146.80 130.15 61.21
Fractional positions:
Zr 0.0000 0.0000 0.0000
Sc 0.7428 0.2428 0.5000
Cd 0.2575 0.7575 0.5000
Cd 0.4835 0.4835 0.0000



two.
First-principles (GGA-PBEsol) data for an optimized crystal structure of ZrScCd2, as listed in Alexandria.

Summary:
Fermi-level density of states, states/eV/cell: 4.4
Total magnetic moment, μB per formula unit: 0.00

a b c (Å): 3.2331 4.1499 6.2837
angles (deg): 90.00 90.00 90.00
Fractional positions:
Zr 0.0000 0.0000 0.0000
Sc 0.5000 0.5000 0.7376
Cd 0.0000 0.0000 0.4959
Cd 0.5000 0.5000 0.2416



Stability summary - winner: one; margin: 0.026 eV/atom.